## one
# Cs2KCdAu (PBE, relaxed)
# **D(E_F)**: 0.6883 states/eV/atom
data_Cs2KCdAu
_space_group_name_H-M_alt 'I m m 2'
_space_group_IT_number 44
_cell_length_a 5.0978
_cell_length_b 6.3005
_cell_length_c 20.0939
_cell_angle_alpha 90.00
_cell_angle_beta 90.00
_cell_angle_gamma 90.00
loop_
_space_group_symop_operation_xyz
'x,y,z'
'-x,-y,z'
'-x,y,z'
'x,-y,z'
'x+1/2,y+1/2,z+1/2'
'-x+1/2,-y+1/2,z+1/2'
'-x+1/2,y+1/2,z+1/2'
'x+1/2,-y+1/2,z+1/2'
loop_
_atom_site_label
_atom_site_type_symbol
_atom_site_fract_x
_atom_site_fract_y
_atom_site_fract_z
Cs1 Cs 0.0000 0.0000 0.0000
Cs2 Cs 0.0000 0.0000 0.3176
K1 K 0.0000 0.0000 0.6886
Cd1 Cd 0.0000 0.0000 0.5141
Au1 Au 0.0000 0.5000 0.0800

## two
# Cs2KCdAu (PBE, relaxed)
# **D(E_F)**: 1.1870 states/eV/atom
data_Cs2KCdAu
_space_group_name_H-M_alt 'P 4/m m m'
_space_group_IT_number 123
_space_group_name_Hall '-P 4 2'
_cell_length_a 6.9151
_cell_length_b 6.9151
_cell_length_c 6.4455
_cell_angle_alpha 90.00
_cell_angle_beta 90.00
_cell_angle_gamma 90.00
loop_
_atom_site_label
_atom_site_type_symbol
_atom_site_fract_x
_atom_site_fract_y
_atom_site_fract_z
Cs1 Cs 0.0000 0.5000 0.0000
K1 K 0.0000 0.0000 0.5000
Cd1 Cd 0.5000 0.5000 0.5000
Au1 Au 0.0000 0.0000 0.0000

one has the most favorable energy; the next structure is 46 meV per atom above.

## one
# KMgBeSe (PBE, relaxed)
# **D(E_F)**: 0.2377 states/eV/atom
data_KMgBeSe
_space_group_name_H-M_alt 'I m m 2'
_space_group_IT_number 44
_cell_length_a 3.6998
_cell_length_b 4.9386
_cell_length_c 11.2955
_cell_angle_alpha 90.00
_cell_angle_beta 90.00
_cell_angle_gamma 90.00
loop_
_space_group_symop_operation_xyz
'x,y,z'
'-x,-y,z'
'-x,y,z'
'x,-y,z'
'x+1/2,y+1/2,z+1/2'
'-x+1/2,-y+1/2,z+1/2'
'-x+1/2,y+1/2,z+1/2'
'x+1/2,-y+1/2,z+1/2'
loop_
_atom_site_label
_atom_site_type_symbol
_atom_site_fract_x
_atom_site_fract_y
_atom_site_fract_z
K1 K 0.0000 0.0000 0.0000
Mg1 Mg 0.0000 0.0000 0.3321
Be1 Be 0.0000 0.5000 0.2174
Se1 Se 0.0000 0.0000 0.6042

## two
# KMgBeSe (PBE, relaxed)
# **D(E_F)**: 0.1942 states/eV/atom
data_KMgBeSe
_space_group_name_H-M_alt 'R 3 m'
_space_group_IT_number 160
_space_group_name_Hall 'R 3 -2"'
_cell_length_a 4.2594
_cell_length_b 4.2594
_cell_length_c 21.1366
_cell_angle_alpha 90.00
_cell_angle_beta 90.00
_cell_angle_gamma 120.00
loop_
_atom_site_label
_atom_site_type_symbol
_atom_site_fract_x
_atom_site_fract_y
_atom_site_fract_z
K1 K 0.0000 0.0000 0.0000
Mg1 Mg 0.0000 0.0000 0.1826
Be1 Be 0.0000 0.0000 0.5553
Se1 Se 0.0000 0.0000 0.4521

one has the most favorable energy; the next structure is 12 meV per atom above.

## one
# HfAs2BrO (PBE, relaxed)
# **D(E_F)**: 0.2128 states/eV/atom
data_HfAs2BrO
_space_group_name_H-M_alt 'P 4/m m m'
_space_group_IT_number 123
_space_group_name_Hall '-P 4 2'
_cell_length_a 4.1087
_cell_length_b 4.1087
_cell_length_c 5.3928
_cell_angle_alpha 90.00
_cell_angle_beta 90.00
_cell_angle_gamma 90.00
loop_
_atom_site_label
_atom_site_type_symbol
_atom_site_fract_x
_atom_site_fract_y
_atom_site_fract_z
Hf1 Hf 0.0000 0.0000 0.0000
As1 As 0.0000 0.5000 0.5000
Br1 Br 0.5000 0.5000 0.0000
O1 O 0.5000 0.5000 0.5000

## two
# HfAs2BrO (PBE, relaxed)
# **D(E_F)**: 1.4952 states/eV/atom
data_HfAs2BrO
_space_group_name_H-M_alt 'P 4/m m m'
_space_group_IT_number 123
_space_group_name_Hall '-P 4 2'
_cell_length_a 5.1967
_cell_length_b 5.1967
_cell_length_c 5.1952
_cell_angle_alpha 90.00
_cell_angle_beta 90.00
_cell_angle_gamma 90.00
loop_
_atom_site_label
_atom_site_type_symbol
_atom_site_fract_x
_atom_site_fract_y
_atom_site_fract_z
Hf1 Hf 0.0000 0.0000 0.0000
As1 As 0.0000 0.5000 0.0000
Br1 Br 0.0000 0.0000 0.5000
O1 O 0.5000 0.5000 0.5000

one has the most favorable energy; the next structure is 479 meV per atom above.

## one
# HgAu2Br (PBE, relaxed)
# **D(E_F)**: 0.3790 states/eV/atom
data_HgAu2Br
_space_group_name_H-M_alt 'C 1 m 1'
_space_group_IT_number 8
_cell_length_a 8.5283
_cell_length_b 4.9272
_cell_length_c 5.4584
_cell_angle_alpha 90.00
_cell_angle_beta 90.06
_cell_angle_gamma 90.00
loop_
_space_group_symop_operation_xyz
'x,y,z'
'x,-y,z'
'x+1/2,y+1/2,z'
'x+1/2,-y+1/2,z'
loop_
_atom_site_label
_atom_site_type_symbol
_atom_site_fract_x
_atom_site_fract_y
_atom_site_fract_z
Hg1 Hg 0.0000 0.0000 0.0000
Au1 Au 0.1667 0.5000 0.0003
Au2 Au 0.3333 0.0000 0.0001
Br1 Br 0.1669 0.5000 0.5002

## two
# HgAu2Br (PBE, relaxed)
# **D(E_F)**: 0.3024 states/eV/atom
data_HgAu2Br
_space_group_name_H-M_alt 'R -3 m'
_space_group_IT_number 166
_space_group_name_Hall '-R 3 2"'
_cell_length_a 4.0193
_cell_length_b 4.0193
_cell_length_c 20.4158
_cell_angle_alpha 90.00
_cell_angle_beta 90.00
_cell_angle_gamma 120.00
loop_
_atom_site_label
_atom_site_type_symbol
_atom_site_fract_x
_atom_site_fract_y
_atom_site_fract_z
Hg1 Hg 0.0000 0.0000 0.0000
Au1 Au 0.0000 0.0000 0.2546
Br1 Br 0.0000 0.0000 0.5000

one has the most favorable energy; the next structure is 149 meV per atom above.

## one
# SbBrCl2 (PBE, relaxed)
# **D(E_F)**: 0.7664 states/eV/atom
data_SbBrCl2
_space_group_name_H-M_alt 'C m m m'
_space_group_IT_number 65
_space_group_name_Hall '-C 2 2'
_cell_length_a 3.6552
_cell_length_b 5.8849
_cell_length_c 11.3899
_cell_angle_alpha 90.00
_cell_angle_beta 90.00
_cell_angle_gamma 90.00
loop_
_atom_site_label
_atom_site_type_symbol
_atom_site_fract_x
_atom_site_fract_y
_atom_site_fract_z
Sb1 Sb 0.0000 0.0000 0.0000
Br1 Br 0.0000 0.0000 0.5000
Cl1 Cl 0.0000 0.5000 0.1736

## two
SbBrCl2 | PBE | relaxed

The structure in CIF format:
```
data_SbBrCl2
_space_group_name_H-M_alt 'P 4 m m'
_space_group_IT_number 99
_cell_length_a 3.9508
_cell_length_b 3.9508
_cell_length_c 7.5682
_cell_angle_alpha 90.00
_cell_angle_beta 90.00
_cell_angle_gamma 90.00
loop_
_space_group_symop_operation_xyz
'x,y,z'
'-y,x,z'
'-x,-y,z'
'y,-x,z'
'-x,y,z'
'y,x,z'
'x,-y,z'
'-y,-x,z'
loop_
_atom_site_label
_atom_site_type_symbol
_atom_site_fract_x
_atom_site_fract_y
_atom_site_fract_z
Sb1 Sb 0.0000 0.0000 0.0000
Br1 Br 0.5000 0.5000 0.1493
Cl1 Cl 0.0000 0.0000 0.3290
Cl2 Cl 0.5000 0.5000 0.7420
```

two has the most favorable energy; the next structure is 43 meV per atom above.

## one
# MnHg2Cl (PBE, relaxed)
# **D(E_F)**: 0.2325 states/eV/atom
data_MnHg2Cl
_space_group_name_H-M_alt 'I -4 2 d'
_space_group_IT_number 122
_space_group_name_Hall 'I -4 2bw'
_cell_length_a 9.7138
_cell_length_b 9.7138
_cell_length_c 4.7703
_cell_angle_alpha 90.00
_cell_angle_beta 90.00
_cell_angle_gamma 90.00
loop_
_atom_site_label
_atom_site_type_symbol
_atom_site_fract_x
_atom_site_fract_y
_atom_site_fract_z
Mn1 Mn 0.0000 0.0000 0.0000
Hg1 Hg 0.1446 0.2500 0.1250
Cl1 Cl 0.0000 0.0000 0.5000

## two
# MnHg2Cl (PBE, relaxed)
# **D(E_F)**: 0.5532 states/eV/atom
data_MnHg2Cl
_space_group_name_H-M_alt 'R 3 m'
_space_group_IT_number 160
_space_group_name_Hall 'R 3 -2"'
_cell_length_a 3.4481
_cell_length_b 3.4481
_cell_length_c 28.9700
_cell_angle_alpha 90.00
_cell_angle_beta 90.00
_cell_angle_gamma 120.00
loop_
_atom_site_label
_atom_site_type_symbol
_atom_site_fract_x
_atom_site_fract_y
_atom_site_fract_z
Mn1 Mn 0.0000 0.0000 0.0000
Hg1 Hg 0.0000 0.0000 0.4976
Hg2 Hg 0.0000 0.0000 0.7361
Cl1 Cl 0.0000 0.0000 0.2827

two has the most favorable energy; the next structure is 122 meV per atom above.

## one
# K2Pd2Au (PBE, relaxed)
# **D(E_F)**: 0.2801 states/eV/atom
data_K2Pd2Au
_space_group_name_H-M_alt 'I m m m'
_space_group_IT_number 71
_space_group_name_Hall '-I 2 2'
_cell_length_a 4.6393
_cell_length_b 5.4910
_cell_length_c 10.2597
_cell_angle_alpha 90.00
_cell_angle_beta 90.00
_cell_angle_gamma 90.00
loop_
_atom_site_label
_atom_site_type_symbol
_atom_site_fract_x
_atom_site_fract_y
_atom_site_fract_z
K1 K 0.0000 0.0000 0.2030
Pd1 Pd 0.0000 0.2549 0.5000
Au1 Au 0.0000 0.5000 0.0000

## two
# K2Pd2Au (PBE, relaxed)
# **D(E_F)**: 0.4645 states/eV/atom
data_K2Pd2Au
_space_group_name_H-M_alt 'P 4/m b m'
_space_group_IT_number 127
_space_group_name_Hall '-P 4 2ab'
_cell_length_a 6.9840
_cell_length_b 6.9840
_cell_length_c 5.1545
_cell_angle_alpha 90.00
_cell_angle_beta 90.00
_cell_angle_gamma 90.00
loop_
_atom_site_label
_atom_site_type_symbol
_atom_site_fract_x
_atom_site_fract_y
_atom_site_fract_z
K1 K 0.1784 0.3216 0.0000
Pd1 Pd 0.1340 0.6340 0.5000
Au1 Au 0.0000 0.0000 0.5000

one has the most favorable energy; the next structure is 84 meV per atom above.